Entry 1:
# GGA-PBE HgPb2Cl, relaxed
data_HgPb2Cl
_chemical_formula_sum 'Hg3 Pb6 Cl3'
_symmetry_space_group_name_H-M 'R 3 m'
_symmetry_Int_Tables_number 160
_symmetry_space_group_name_Hall 'R 3 -2"'
_cell_length_a 3.5535
_cell_length_b 3.5535
_cell_length_c 32.4010
_cell_angle_alpha 90.00
_cell_angle_beta 90.00
_cell_angle_gamma 120.00
loop_
_atom_site_label
_atom_site_type_symbol
_atom_site_fract_x
_atom_site_fract_y
_atom_site_fract_z
Hg1 Hg 0.0000 0.0000 0.0000
Pb1 Pb 0.0000 0.0000 0.2431
Pb2 Pb 0.0000 0.0000 0.4804
Cl1 Cl 0.0000 0.0000 0.7478
# crystal system	trigonal
# M_tot	0.0	μB/f.u.
# total energy	-2.6086	eV per atom
# energy above the lowest structure with this stoichiometry	74.6	meV/atom
# formation energy from raw total energies	-0.22	eV per atom

***

Entry 2:
# GGA-PBE Sr2PuS3, relaxed
data_Sr2PuS3
_chemical_formula_sum 'Sr4 Pu2 S6'
_symmetry_space_group_name_H-M 'I m m m'
_symmetry_Int_Tables_number 71
_symmetry_space_group_name_Hall '-I 2 2'
_cell_length_a 4.1790
_cell_length_b 5.9141
_cell_length_c 12.5879
_cell_angle_alpha 90.00
_cell_angle_beta 90.00
_cell_angle_gamma 90.00
loop_
_atom_site_label
_atom_site_type_symbol
_atom_site_fract_x
_atom_site_fract_y
_atom_site_fract_z
Sr1 Sr 0.0000 0.0000 0.1682
Pu1 Pu 0.0000 0.0000 0.5000
S1 S 0.0000 0.5000 0.1559
S2 S 0.0000 0.5000 0.5000
# crystal system	orthorhombic
# M_tot	5.9	μB/f.u.
# total energy	-6.9452	eV per atom
# formation energy from raw total energies	-1.93	eV per atom

***

Entry 3:
# GGA-PBE SrPr2Y, relaxed
data_SrPr2Y
_chemical_formula_sum 'Sr3 Pr6 Y3'
_symmetry_space_group_name_H-M 'R -3 m'
_symmetry_Int_Tables_number 166
_symmetry_space_group_name_Hall '-R 3 2"'
_cell_length_a 3.6969
_cell_length_b 3.6969
_cell_length_c 39.5924
_cell_angle_alpha 90.00
_cell_angle_beta 90.00
_cell_angle_gamma 120.00
loop_
_atom_site_label
_atom_site_type_symbol
_atom_site_fract_x
_atom_site_fract_y
_atom_site_fract_z
Sr1 Sr 0.0000 0.0000 0.0000
Pr1 Pr 0.0000 0.0000 0.0932
Y1 Y 0.0000 0.0000 0.5000
# crystal system	trigonal
# M_tot	0.0	μB/f.u.
# total energy	-4.2529	eV per atom
# energy above the lowest structure with this stoichiometry	90.0	meV/atom

***

Entry 4:
# GGA-PBE MnPbW2, relaxed
data_MnPbW2
_chemical_formula_sum 'Mn3 Pb3 W6'
_symmetry_space_group_name_H-M 'R 3 m'
_symmetry_Int_Tables_number 160
_symmetry_space_group_name_Hall 'R 3 -2"'
_cell_length_a 3.0102
_cell_length_b 3.0102
_cell_length_c 27.0142
_cell_angle_alpha 90.00
_cell_angle_beta 90.00
_cell_angle_gamma 120.00
loop_
_atom_site_label
_atom_site_type_symbol
_atom_site_fract_x
_atom_site_fract_y
_atom_site_fract_z
Mn1 Mn 0.0000 0.0000 0.0000
Pb1 Pb 0.0000 0.0000 0.7564
W1 W 0.0000 0.0000 0.2675
W2 W 0.0000 0.0000 0.5183
# crystal system	trigonal
# M_tot	1.3	μB/f.u.
# total energy	-8.9511	eV per atom